Material: LiCuRe2
Method: DFT, GGA-PBEsol
State: optimized geometry

Unit cell a=3.108 b=4.004 c=4.274 alpha=90.00 beta=90.00 gamma=90.00
Space group Pmmm (No. 47)
Inequivalent atoms, fractional coordinates:
Li 0.000 0.000 0.000 [1 per cell]
Cu 0.500 0.500 0.000 [1 per cell]
Re 0.000 0.500 0.500 [1 per cell]
Re 0.500 0.000 0.500 [1 per cell]

Calculated values
DFT formation energy: 1.4 eV per formula unit
V: 13.3 A^3/atom